## GaHg4S5 (PBE)

Data for a relaxed structure of GaHg4S5.

The value obtained for the total energy is -51.88 eV/cell. For the formation energy (no corrections), the calculation gives -103 kJ/mol of formula units. For the total moment, the calculation gives 0.000 μB/atom.

The structure belongs to space group I4 (No. 79); the cell edges are 8.5948, 8.5948 and 5.8810 Å and the angles 90.00°, 90.00° and 90.00°. The inequivalent atoms are Ga at (0.0000, 0.0000, 0.0000), Hg at (0.1043, 0.2960, 0.5258), S at (0.0000, 0.0000, 0.5970) and S at (0.0746, 0.2752, 0.0655).

=====

## Ga3HgS (PBE)

Data for a relaxed structure of Ga3HgS.

The value obtained for the total energy is -12.18 eV/cell. For the formation energy (no corrections), the calculation gives 128 kJ/mol of formula units. The calculation puts the polymorph energy (0 for the lowest one) at 0.0000 eV/atom. For the total moment, the calculation gives 0.000 μB/atom.

The structure belongs to space group Pm-3m (No. 221); the cell edges are 5.0852, 5.0852 and 5.0852 Å and the angles 90.00°, 90.00° and 90.00°. The inequivalent atoms are Ga at (0.0000, 0.0000, 0.5000), Hg at (0.5000, 0.5000, 0.5000) and S at (0.0000, 0.0000, 0.0000).

=====

## GaHg4S6 (PBE)

Data for a relaxed structure of GaHg4S6.

The value obtained for the total energy is -121.19 eV/cell. For the formation energy (no corrections), the calculation gives -125 kJ/mol of formula units. For the total moment, the calculation gives 0.000 μB/atom.

The structure belongs to space group Cc (No. 9); the cell edges are 12.7282, 7.1921 and 12.7012 Å and the angles 90.00°, 109.37° and 90.00°. The inequivalent atoms are Ga at (0.0000, 0.2210, 0.0000), Hg at (0.0609, 0.0913, 0.7466), Hg at (0.2264, 0.3815, 0.2483), Hg at (0.2464, 0.1189, 0.5545), Hg at (0.4264, 0.1763, 0.9042), S at (0.1129, 0.2199, 0.3629), S at (0.1871, 0.2370, 0.0526), S at (0.2432, 0.2600, 0.7432), S at (0.4242, 0.4637, 0.0460), S at (0.4249, 0.2124, 0.3145) and S at (0.4485, 0.0242, 0.5793).

=====

## Ga2HgS (PBE)

Data for a relaxed structure of Ga2HgS.

The value obtained for the total energy is -43.66 eV/cell. For the formation energy (no corrections), the calculation gives -42 kJ/mol of formula units. The calculation puts the polymorph energy (0 for the lowest one) at 0.0757 eV/atom. For the total moment, the calculation gives 0.000 μB/atom.

The structure belongs to space group I-42d (No. 122); the cell edges are 6.3208, 6.3208 and 10.5075 Å and the angles 90.00°, 90.00° and 90.00°. The inequivalent atoms are Ga at (0.2273, 0.2500, 0.1250), Hg at (0.0000, 0.0000, 0.5000) and S at (0.0000, 0.0000, 0.0000).

=====

## Ga2HgSbS6 (PBE)

Data for a relaxed structure of Ga2HgSbS6.

The value obtained for the total energy is -152.63 eV/cell. For the formation energy (no corrections), the calculation gives -281 kJ/mol of formula units. For the total moment, the calculation gives 0.000 μB/atom.

The structure belongs to space group C2/c (No. 15); the cell edges are 12.6347, 11.2341 and 6.9421 Å and the angles 90.00°, 107.47° and 90.00°. The inequivalent atoms are Ga at (0.2047, 0.0849, 0.2484), Hg at (0.0000, 0.3303, 0.2500), Sb at (0.0000, 0.2502, 0.7500), S at (0.1032, 0.4129, 0.6323), S at (0.1322, 0.0628, 0.5159) and S at (0.1546, 0.2733, 0.1143).

=====

## GaHg2Se2S (PBE)

Data for a relaxed structure of GaHg2Se2S.

The value obtained for the total energy is -64.80 eV/cell. For the formation energy (no corrections), the calculation gives -142 kJ/mol of formula units. For the total moment, the calculation gives 0.000 μB/atom.

The structure belongs to space group Cmc2_1 (No. 36); the cell edges are 13.1802, 7.7884 and 6.6260 Å and the angles 90.00°, 90.00° and 90.00°. The inequivalent atoms are Ga at (0.0000, 0.1480, 0.0000), Hg at (0.1593, 0.3368, 0.4849), Se at (0.1525, 0.3124, 0.9088) and S at (0.0000, 0.1275, 0.3595).

=====

## Ga2SnHgS6 (PBE)

Data for a relaxed structure of Ga2SnHgS6.

The value obtained for the total energy is -154.96 eV/cell. For the formation energy (no corrections), the calculation gives -349 kJ/mol of formula units. For the total moment, the calculation gives 0.000 μB/atom.

The structure belongs to space group C2/c (No. 15); the cell edges are 12.2877, 12.0754 and 6.4439 Å and the angles 90.00°, 104.36° and 90.00°. The inequivalent atoms are Ga at (0.1905, 0.0853, 0.2947), Sn at (0.0000, 0.2234, 0.7500), Hg at (0.0000, 0.4041, 0.2500), S at (0.1131, 0.3978, 0.6368), S at (0.1316, 0.2418, 0.1051) and S at (0.1440, 0.0813, 0.6235).

=====

## Sr2GaHgS5 (PBE)

Data for a relaxed structure of Sr2GaHgS5.

The value obtained for the total energy is -147.24 eV/cell. For the formation energy (no corrections), the calculation gives -915 kJ/mol of formula units. For the total moment, the calculation gives 0.088 μB/atom.

The structure belongs to space group Cmc2_1 (No. 36); the cell edges are 3.9273, 18.8213 and 11.8743 Å and the angles 90.00°, 90.00° and 90.00°. The inequivalent atoms are Sr at (0.0000, 0.1109, 0.0000), Sr at (0.0000, 0.1112, 0.3663), Ga at (0.0000, 0.4364, 0.1514), Hg at (0.0000, 0.2305, 0.7313), S at (0.0000, 0.0416, 0.7545), S at (0.0000, 0.2780, 0.3838), S at (0.0000, 0.3168, 0.0977), S at (0.0000, 0.3655, 0.6862) and S at (0.0000, 0.4881, 0.9798).

=====

Look up the formation energy (no corrections) of the seventh one.
-349 kJ/mol of formula units

=====

Which of these has the highest total moment?
Sr2GaHgS5

=====

Copy entry 8 word for word.
## Sr2GaHgS5 (PBE)

Data for a relaxed structure of Sr2GaHgS5.

The value obtained for the total energy is -147.24 eV/cell. For the formation energy (no corrections), the calculation gives -915 kJ/mol of formula units. For the total moment, the calculation gives 0.088 μB/atom.

The structure belongs to space group Cmc2_1 (No. 36); the cell edges are 3.9273, 18.8213 and 11.8743 Å and the angles 90.00°, 90.00° and 90.00°. The inequivalent atoms are Sr at (0.0000, 0.1109, 0.0000), Sr at (0.0000, 0.1112, 0.3663), Ga at (0.0000, 0.4364, 0.1514), Hg at (0.0000, 0.2305, 0.7313), S at (0.0000, 0.0416, 0.7545), S at (0.0000, 0.2780, 0.3838), S at (0.0000, 0.3168, 0.0977), S at (0.0000, 0.3655, 0.6862) and S at (0.0000, 0.4881, 0.9798).